A.
This record from the Alexandria database describes a relaxed LiCaMg2Sc crystal. The functional is GGA-PBE.

As for the space group: P4/mmm, No. 123.

a = 5.024 Å, b = 5.024 Å, c = 5.207 Å
α = 90.00°, β = 90.00°, γ = 90.00°
Fractional coordinates of all 5 atoms:
1 Li 0.000 0.000 0.000
2 Ca 0.000 0.000 0.500
3 Mg 0.000 0.500 0.000
4 Mg 0.500 0.000 0.000
5 Sc 0.500 0.500 0.500

=====

B.
This record from the Alexandria database describes a relaxed LiCaMg2Sc crystal. The functional is GGA-PBE.

As for the space group: P4/mmm, No. 123.

a = 5.649 Å, b = 5.649 Å, c = 5.976 Å
α = 90.00°, β = 90.00°, γ = 90.00°
Fractional coordinates of all 5 atoms:
1 Li 0.000 0.000 0.000
2 Ca 0.500 0.500 0.000
3 Mg 0.000 0.500 0.500
4 Mg 0.500 0.000 0.500
5 Sc 0.500 0.500 0.500

=====

Relative energies with respect to the most stable structure, expressed in kJ/mol of atoms: A 0.0; B 44.2.

=====

A.
This record from the Alexandria database describes a relaxed Li2CaMgZn crystal. The functional is GGA-PBE.

As for the space group: P4/mmm, No. 123.

a = 4.981 Å, b = 4.981 Å, c = 5.063 Å
α = 90.00°, β = 90.00°, γ = 90.00°
Fractional coordinates of all 5 atoms:
1 Li 0.000 0.500 0.000
2 Li 0.500 0.000 0.000
3 Ca 0.000 0.000 0.500
4 Mg 0.500 0.500 0.500
5 Zn 0.500 0.500 0.000

=====

B.
This record from the Alexandria database describes a relaxed Li2CaMgZn crystal. The functional is GGA-PBE.

As for the space group: Imm2, No. 44.

a = 7.067 Å, b = 7.067 Å, c = 7.067 Å
α = 147.30°, β = 141.90°, γ = 51.06°
Fractional coordinates of all 5 atoms:
1 Li 0.000 0.000 0.000
2 Li 0.834 0.334 0.500
3 Ca 0.217 0.717 0.500
4 Mg 0.477 0.477 0.000
5 Zn 0.630 0.130 0.500

=====

Relative energies with respect to the most stable structure, expressed in kJ/mol of atoms: A 10.7; B 0.0.

=====

A.
This record from the Alexandria database describes a relaxed LiCaMo2 crystal. The functional is GGA-PBE.

As for the space group: C2/m, No. 12.

a = 5.844 Å, b = 5.844 Å, c = 2.705 Å
α = 96.80°, β = 96.80°, γ = 125.77°
Fractional coordinates of all 4 atoms:
1 Li 0.000 0.000 0.000
2 Ca 0.500 0.500 0.000
3 Mo 0.000 0.500 0.500
4 Mo 0.500 0.000 0.500

=====

B.
This record from the Alexandria database describes a relaxed LiCaMo2 crystal. The functional is GGA-PBE.

As for the space group: Cmm2, No. 35.

a = 2.960 Å, b = 2.960 Å, c = 9.788 Å
α = 90.00°, β = 90.00°, γ = 112.55°
Fractional coordinates of all 4 atoms:
1 Li 0.000 0.000 0.000
2 Ca 0.500 0.500 0.302
3 Mo 0.000 0.000 0.569
4 Mo 0.500 0.500 0.764

=====

Relative energies with respect to the most stable structure, expressed in kJ/mol of atoms: A 14.1; B 0.0.

=====

A.
This record from the Alexandria database describes a relaxed Li2CaMo crystal. The functional is GGA-PBE.

As for the space group: Cmmm, No. 65.

a = 5.622 Å, b = 5.622 Å, c = 2.756 Å
α = 90.00°, β = 90.00°, γ = 116.38°
Fractional coordinates of all 4 atoms:
1 Li 0.000 0.500 0.000
2 Li 0.500 0.000 0.000
3 Ca 0.000 0.000 0.500
4 Mo 0.500 0.500 0.500

=====

B.
This record from the Alexandria database describes a relaxed Li2CaMo crystal. The functional is GGA-PBE.

As for the space group: P4/mmm, No. 123.

a = 4.648 Å, b = 4.648 Å, c = 3.835 Å
α = 90.00°, β = 90.00°, γ = 90.00°
Fractional coordinates of all 4 atoms:
1 Li 0.000 0.500 0.000
2 Li 0.500 0.000 0.000
3 Ca 0.000 0.000 0.500
4 Mo 0.500 0.500 0.500

=====

Relative energies with respect to the most stable structure, expressed in kJ/mol of atoms: A 0.0; B 8.3.

=====

A.
This record from the Alexandria database describes a relaxed Li2CaMo crystal. The functional is GGA-PBE.

As for the space group: Immm, No. 71.

a = 6.331 Å, b = 6.331 Å, c = 6.331 Å
α = 154.07°, β = 130.33°, γ = 56.87°
Fractional coordinates of all 4 atoms:
1 Li 0.225 0.225 0.000
2 Li 0.775 0.775 0.000
3 Ca 0.500 0.000 0.500
4 Mo 0.000 0.500 0.500

=====

B.
This record from the Alexandria database describes a relaxed Li2CaMo crystal. The functional is GGA-PBE.

As for the space group: P4mm, No. 99.

a = 2.913 Å, b = 2.913 Å, c = 9.438 Å
α = 90.00°, β = 90.00°, γ = 90.00°
Fractional coordinates of all 4 atoms:
1 Li 0.000 0.000 0.000
2 Li 0.500 0.500 0.233
3 Ca 0.500 0.500 0.695
4 Mo 0.000 0.000 0.444

=====

C.
This record from the Alexandria database describes a relaxed Li2CaMo crystal. The functional is GGA-PBE.

As for the space group: Pmmm, No. 47.

a = 2.756 Å, b = 4.709 Å, c = 6.097 Å
α = 90.00°, β = 90.00°, γ = 90.00°
Fractional coordinates of all 4 atoms:
1 Li 0.000 0.000 0.199
2 Li 0.000 0.000 0.801
3 Ca 0.500 0.500 0.500
4 Mo 0.500 0.500 0.000

=====

Relative energies with respect to the most stable structure, expressed in kJ/mol of atoms: A 15.4; B 0.0; C 14.6.

=====

A.
This record from the Alexandria database describes a relaxed Li2CaMo crystal. The functional is GGA-PBE.

As for the space group: Imm2, No. 44.

a = 5.848 Å, b = 5.848 Å, c = 5.848 Å
α = 152.09°, β = 126.71°, γ = 61.22°
Fractional coordinates of all 4 atoms:
1 Li 0.000 0.000 0.000
2 Li 0.785 0.285 0.500
3 Ca 0.519 0.519 0.000
4 Mo 0.239 0.739 0.500

=====

B.
This record from the Alexandria database describes a relaxed Li2CaMo crystal. The functional is GGA-PBE.

As for the space group: P4/mmm, No. 123.

a = 5.070 Å, b = 5.070 Å, c = 2.876 Å
α = 90.00°, β = 90.00°, γ = 90.00°
Fractional coordinates of all 4 atoms:
1 Li 0.000 0.500 0.000
2 Li 0.500 0.000 0.000
3 Ca 0.000 0.000 0.500
4 Mo 0.500 0.500 0.500

=====

Relative energies with respect to the most stable structure, expressed in kJ/mol of atoms: A 0.0; B 6.4.

=====

A.
This record from the Alexandria database describes a relaxed Li2CaMo crystal. The functional is GGA-PBE.

As for the space group: R-3m, No. 166.

a = 10.906 Å, b = 10.906 Å, c = 10.906 Å
α = 15.60°, β = 15.60°, γ = 15.60°
Fractional coordinates of all 4 atoms:
1 Li 0.240 0.240 0.240
2 Li 0.760 0.760 0.760
3 Ca 0.000 0.000 0.000
4 Mo 0.500 0.500 0.500

=====

B.
This record from the Alexandria database describes a relaxed Li2CaMo crystal. The functional is GGA-PBE.

As for the space group: Pmm2, No. 25.

a = 2.693 Å, b = 4.814 Å, c = 5.994 Å
α = 90.00°, β = 90.00°, γ = 90.00°
Fractional coordinates of all 4 atoms:
1 Li 0.000 0.000 0.000
2 Li 0.500 0.500 0.256
3 Ca 0.500 0.500 0.721
4 Mo 0.000 0.000 0.462

=====

C.
This record from the Alexandria database describes a relaxed Li2CaMo crystal. The functional is GGA-PBE.

As for the space group: C2/m, No. 12.

a = 5.319 Å, b = 5.319 Å, c = 5.662 Å
α = 94.60°, β = 94.60°, γ = 30.47°
Fractional coordinates of all 4 atoms:
1 Li 0.241 0.241 0.201
2 Li 0.759 0.759 0.799
3 Ca 0.000 0.000 0.500
4 Mo 0.500 0.500 0.000

=====

Relative energies with respect to the most stable structure, expressed in kJ/mol of atoms: A 11.3; B 2.5; C 0.0.

=====

A.
This record from the Alexandria database describes a relaxed Li2CaMo crystal. The functional is GGA-PBE.

As for the space group: Fm-3m, No. 225.

a = 4.934 Å, b = 4.934 Å, c = 4.934 Å
α = 60.00°, β = 60.00°, γ = 60.00°
Fractional coordinates of all 4 atoms:
1 Li 0.250 0.250 0.250
2 Li 0.750 0.750 0.750
3 Ca 0.000 0.000 0.000
4 Mo 0.500 0.500 0.500

=====

B.
This record from the Alexandria database describes a relaxed Li2CaMo crystal. The functional is GGA-PBE.

As for the space group: Cm, No. 8.

a = 5.238 Å, b = 5.238 Å, c = 5.621 Å
α = 98.34°, β = 98.34°, γ = 30.86°
Fractional coordinates of all 4 atoms:
1 Li 0.000 0.000 0.000
2 Li 0.738 0.738 0.255
3 Ca 0.238 0.238 0.726
4 Mo 0.482 0.482 0.464

=====

Relative energies with respect to the most stable structure, expressed in kJ/mol of atoms: A 7.8; B 0.0.

=====

A.
This record from the Alexandria database describes a relaxed LiCaMo3 crystal. The functional is GGA-PBE.

As for the space group: Pm-3m, No. 221.

a = 4.464 Å, b = 4.464 Å, c = 4.464 Å
α = 90.00°, β = 90.00°, γ = 90.00°
Fractional coordinates of all 5 atoms:
1 Li 0.000 0.000 0.000
2 Ca 0.500 0.500 0.500
3 Mo 0.000 0.000 0.500
4 Mo 0.000 0.500 0.000
5 Mo 0.500 0.000 0.000

=====

B.
This record from the Alexandria database describes a relaxed LiCaMo3 crystal. The functional is GGA-PBE.

As for the space group: Pm-3m, No. 221.

a = 4.684 Å, b = 4.684 Å, c = 4.684 Å
α = 90.00°, β = 90.00°, γ = 90.00°
Fractional coordinates of all 5 atoms:
1 Li 0.000 0.000 0.000
2 Ca 0.500 0.500 0.500
3 Mo 0.000 0.500 0.500
4 Mo 0.500 0.000 0.500
5 Mo 0.500 0.500 0.000

=====

Relative energies with respect to the most stable structure, expressed in kJ/mol of atoms: A 0.0; B 111.3.

=====

A.
This record from the Alexandria database describes a relaxed LiCa8N4 crystal. The functional is GGA-PBE.

As for the space group: C2/m, No. 12.

a = 9.215 Å, b = 9.215 Å, c = 12.757 Å
α = 133.74°, β = 133.74°, γ = 22.62°
Fractional coordinates of all 13 atoms:
1 Li 0.000 0.000 0.000
2 Ca 0.042 0.042 0.708
3 Ca 0.299 0.299 0.954
4 Ca 0.337 0.337 0.380
5 Ca 0.344 0.344 0.644
6 Ca 0.656 0.656 0.356
7 Ca 0.663 0.663 0.620
8 Ca 0.701 0.701 0.046
9 Ca 0.958 0.958 0.292
10 N 0.154 0.154 0.485
11 N 0.332 0.332 0.177
12 N 0.668 0.668 0.823
13 N 0.846 0.846 0.515

=====

B.
This record from the Alexandria database describes a relaxed LiCa8N4 crystal. The functional is GGA-PBE.

As for the space group: F-43m, No. 216.

a = 7.511 Å, b = 7.511 Å, c = 7.511 Å
α = 60.00°, β = 60.00°, γ = 60.00°
Fractional coordinates of all 13 atoms:
1 Li 0.000 0.000 0.000
2 Ca 0.146 0.146 0.146
3 Ca 0.146 0.146 0.561
4 Ca 0.146 0.561 0.146
5 Ca 0.173 0.609 0.609
6 Ca 0.561 0.146 0.146
7 Ca 0.609 0.173 0.609
8 Ca 0.609 0.609 0.173
9 Ca 0.609 0.609 0.609
10 N 0.375 0.375 0.375
11 N 0.375 0.375 0.875
12 N 0.375 0.875 0.375
13 N 0.875 0.375 0.375

=====

Relative energies with respect to the most stable structure, expressed in kJ/mol of atoms: A 0.0; B 10.3.

=====

A.
This record from the Alexandria database describes a relaxed Li4CaN2 crystal. The functional is GGA-PBE.

As for the space group: P4_2/mnm, No. 136.

a = 6.449 Å, b = 6.449 Å, c = 3.515 Å
α = 90.00°, β = 90.00°, γ = 90.00°
Fractional coordinates of all 14 atoms:
1 Li 0.093 0.327 0.000
2 Li 0.173 0.593 0.500
3 Li 0.327 0.093 0.000
4 Li 0.407 0.827 0.500
5 Li 0.593 0.173 0.500
6 Li 0.673 0.907 0.000
7 Li 0.827 0.407 0.500
8 Li 0.907 0.673 0.000
9 Ca 0.000 0.000 0.500
10 Ca 0.500 0.500 0.000
11 N 0.220 0.780 0.000
12 N 0.280 0.280 0.500
13 N 0.720 0.720 0.500
14 N 0.780 0.220 0.000

=====

B.
This record from the Alexandria database describes a relaxed Li4CaN2 crystal. The functional is GGA-PBE.

As for the space group: R-3m, No. 166.

a = 6.889 Å, b = 6.889 Å, c = 6.889 Å
α = 29.97°, β = 29.97°, γ = 29.97°
Fractional coordinates of all 7 atoms:
1 Li 0.074 0.074 0.074
2 Li 0.361 0.361 0.361
3 Li 0.639 0.639 0.639
4 Li 0.926 0.926 0.926
5 Ca 0.500 0.500 0.500
6 N 0.254 0.254 0.254
7 N 0.746 0.746 0.746

=====

Relative energies with respect to the most stable structure, expressed in kJ/mol of atoms: A 3.0; B 0.0.

=====

A.
This record from the Alexandria database describes a relaxed LiCaSN crystal. The functional is GGA-PBE.

As for the space group: R3m, No. 160.

a = 5.246 Å, b = 5.246 Å, c = 5.246 Å
α = 46.10°, β = 46.10°, γ = 46.10°
Fractional coordinates of all 4 atoms:
1 Li 0.000 0.000 0.000
2 Ca 0.485 0.485 0.485
3 S 0.262 0.262 0.262
4 N 0.135 0.135 0.135

=====

B.
This record from the Alexandria database describes a relaxed LiCaSN crystal. The functional is GGA-PBE.

As for the space group: Cm, No. 8.

a = 3.902 Å, b = 3.902 Å, c = 4.766 Å
α = 94.32°, β = 94.32°, γ = 57.25°
Fractional coordinates of all 4 atoms:
1 Li 0.000 0.000 0.000
2 Ca 0.686 0.686 0.569
3 S 0.334 0.334 0.166
4 N 0.381 0.381 0.800

=====

Relative energies with respect to the most stable structure, expressed in kJ/mol of atoms: A 0.0; B 1.9.